# 1
PRh PBE optimized geometry; space-group type = No. 65; total DFT energy (no corrections) = -12.7 eV/cell; DFT formation energy = 0.1 eV/f.u.
1.0
1.432 -2.582 0.000
1.432 2.582 0.000
0.000 0.000 3.880
P Rh
1 1
Direct
0.000 0.000 0.000
0.500 0.500 0.500

# 2
Fe2SnBr6Cl2 PBE optimized geometry; space-group type = No. 147; total DFT energy (no corrections) = -41.4 eV/cell; energy relative to the elements, uncorrected = -0.613 eV per atom
1.0
7.008 0.000 0.000
-3.504 6.069 0.000
0.000 0.000 9.906
Fe Sn Br Cl
2 1 6 2
Direct
0.333 0.667 0.241
0.667 0.333 0.759
0.000 0.000 0.500
0.007 0.658 0.322
0.342 0.349 0.322
0.349 0.007 0.678
0.651 0.993 0.322
0.658 0.651 0.678
0.993 0.342 0.678
0.333 0.667 0.025
0.667 0.333 0.975

# 3
PrTlTe PBE optimized geometry; space-group type = No. 166; total DFT energy (no corrections) = -24.8 eV/cell; energy relative to the elements, uncorrected = -0.702 eV per atom
1.0
2.629 1.518 9.507
-2.629 1.518 9.507
0.000 -3.035 9.507
Pr Tl Te
2 2 2
Direct
0.234 0.234 0.234
0.766 0.766 0.766
0.355 0.355 0.355
0.645 0.645 0.645
0.120 0.120 0.120
0.880 0.880 0.880

# 4
Na3Ga8Cu3 PBE optimized geometry; space-group type = No. 71; total DFT energy (no corrections) = -41.9 eV/cell; DFT formation energy = -1.5 eV/f.u.
1.0
-2.135 4.852 6.200
2.135 -4.852 6.200
2.135 4.852 -6.200
Na Ga Cu
3 8 3
Direct
0.000 0.000 0.000
0.317 0.317 0.000
0.683 0.683 0.000
0.032 0.672 0.360
0.171 0.882 0.289
0.312 0.672 0.640
0.407 0.118 0.289
0.593 0.882 0.711
0.688 0.328 0.360
0.829 0.118 0.711
0.968 0.328 0.640
0.281 0.500 0.781
0.500 0.000 0.500
0.719 0.500 0.219

# 5
Co4PdPt4 PBE optimized geometry; space-group type = No. 139; total DFT energy (no corrections) = -58.4 eV/cell; DFT formation energy = -0.6 eV/f.u.
1.0
-4.019 4.019 1.914
4.019 -4.019 1.914
4.019 4.019 -1.914
Co Pd Pt
4 1 4
Direct
0.000 0.350 0.350
0.000 0.650 0.650
0.350 0.000 0.350
0.650 0.000 0.650
0.000 0.000 0.000
0.330 0.330 0.659
0.330 0.670 0.000
0.670 0.330 0.000
0.670 0.670 0.341

# 6
Ac8Ge3Te4N PBE optimized geometry; space-group type = No. 12; total DFT energy (no corrections) = -86.4 eV/cell; energy relative to the elements, uncorrected = -1.173 eV per atom
1.0
7.886 -4.536 0.000
7.886 4.536 0.000
-5.260 0.000 7.762
Ac Ge Te N
8 3 4 1
Direct
0.225 0.758 0.709
0.236 0.236 0.718
0.242 0.775 0.291
0.258 0.258 0.273
0.742 0.742 0.727
0.758 0.225 0.709
0.764 0.764 0.282
0.775 0.242 0.291
0.000 0.500 0.500
0.500 0.000 0.500
0.500 0.500 0.500
0.000 0.000 0.000
0.000 0.500 0.000
0.500 0.000 0.000
0.500 0.500 0.000
0.000 0.000 0.500

# 7
Zr2CdFe PBE optimized geometry; space-group type = No. 8; total DFT energy (no corrections) = -26.3 eV/cell; DFT formation energy = 0.1 eV/f.u.
1.0
5.553 -1.616 0.000
5.553 1.616 0.000
-2.052 0.000 4.314
Zr Cd Fe
2 1 1
Direct
0.000 0.000 0.000
0.208 0.208 0.708
0.788 0.788 0.289
0.510 0.510 0.504

# 8
Sb2PbAu PBE optimized geometry; space-group type = No. 123; total DFT energy (no corrections) = -14.6 eV/cell; energy relative to the elements, uncorrected = 0.168 eV per atom
1.0
4.830 0.000 0.000
0.000 4.830 0.000
0.000 0.000 4.501
Sb Pb Au
2 1 1
Direct
0.000 0.500 0.000
0.500 0.000 0.000
0.000 0.000 0.500
0.500 0.500 0.500

# 9
Rb2NiC PBE optimized geometry; space-group type = No. 122; total DFT energy (no corrections) = -19.2 eV/cell; DFT formation energy = 7.3 eV/f.u.
1.0
-4.314 4.314 4.466
4.314 -4.314 4.466
4.314 4.314 -4.466
Rb Ni C
4 2 2
Direct
0.082 0.625 0.957
0.375 0.332 0.457
0.668 0.125 0.043
0.875 0.918 0.543
0.250 0.750 0.500
0.500 0.500 0.000
0.000 0.000 0.000
0.750 0.250 0.500

# 10
Ni23Pd6Rh PBE optimized geometry; space-group type = No. 225; total DFT energy (no corrections) = -167.4 eV/cell; DFT formation energy = 4.1 eV/f.u.
1.0
0.000 5.691 5.691
5.691 0.000 5.691
5.691 5.691 0.000
Ni Pd Rh
23 6 1
Direct
0.000 0.000 0.000
0.000 0.000 0.500
0.000 0.500 0.000
0.000 0.500 0.500
0.002 0.333 0.333
0.122 0.122 0.122
0.122 0.122 0.633
0.122 0.633 0.122
0.333 0.002 0.333
0.333 0.333 0.002
0.333 0.333 0.333
0.367 0.878 0.878
0.500 0.000 0.000
0.500 0.000 0.500
0.500 0.500 0.000
0.633 0.122 0.122
0.667 0.667 0.667
0.667 0.667 0.998
0.667 0.998 0.667
0.878 0.367 0.878
0.878 0.878 0.367
0.878 0.878 0.878
0.998 0.667 0.667
0.271 0.271 0.729
0.271 0.729 0.271
0.271 0.729 0.729
0.729 0.271 0.271
0.729 0.271 0.729
0.729 0.729 0.271
0.500 0.500 0.500

# 11
CaCdHg2 PBE optimized geometry; space-group type = No. 6; total DFT energy (no corrections) = -4.7 eV/cell; DFT formation energy = -1.1 eV/f.u.
1.0
3.509 0.000 0.000
0.000 5.112 0.000
-0.081 0.000 5.879
Ca Cd Hg
1 1 2
Direct
0.000 0.000 0.000
0.510 0.500 0.269
0.493 0.500 0.778
0.499 0.000 0.504

# 12
Ba2Zn4GaSi3 PBE optimized geometry; space-group type = No. 115; total DFT energy (no corrections) = -31.1 eV/cell; energy relative to the elements, uncorrected = -0.290 eV per atom
1.0
4.446 0.000 0.000
0.000 4.446 0.000
0.000 0.000 10.750
Ba Zn Ga Si
2 4 1 3
Direct
0.000 0.500 0.244
0.500 0.000 0.756
0.000 0.000 0.000
0.000 0.500 0.633
0.500 0.000 0.367
0.500 0.500 0.000
0.000 0.000 0.500
0.000 0.500 0.872
0.500 0.000 0.128
0.500 0.500 0.500

# 13
Pu2NpSb5 PBE optimized geometry; space-group type = No. 55; total DFT energy (no corrections) = -127.9 eV/cell; energy relative to the elements, uncorrected = -0.216 eV per atom
1.0
6.882 0.000 0.000
0.000 15.961 0.000
0.000 0.000 4.522
Pu Np Sb
4 2 10
Direct
0.001 0.249 0.000
0.499 0.749 0.000
0.501 0.251 0.000
0.999 0.751 0.000
0.000 0.000 0.500
0.500 0.500 0.500
0.000 0.500 0.500
0.249 0.584 0.000
0.250 0.335 0.500
0.250 0.835 0.500
0.251 0.084 0.000
0.500 0.000 0.500
0.749 0.916 0.000
0.750 0.165 0.500
0.750 0.665 0.500
0.751 0.416 0.000

# 14
K2BiS2 PBE optimized geometry; space-group type = No. 127; total DFT energy (no corrections) = -35.9 eV/cell; energy relative to the elements, uncorrected = -0.720 eV per atom
1.0
7.923 0.000 0.000
0.000 7.923 0.000
0.000 0.000 4.441
K Bi S
4 2 4
Direct
0.135 0.365 0.000
0.365 0.865 0.000
0.635 0.135 0.000
0.865 0.635 0.000
0.000 0.000 0.500
0.500 0.500 0.500
0.178 0.678 0.500
0.322 0.178 0.500
0.678 0.822 0.500
0.822 0.322 0.500

# 15
ZnTe2RhO8 PBE optimized geometry; space-group type = No. 119; total DFT energy (no corrections) = -61.0 eV/cell; energy relative to the elements, uncorrected = -0.535 eV per atom
1.0
-3.391 3.391 3.494
3.391 -3.391 3.494
3.391 3.391 -3.494
Zn Te Rh O
1 2 1 8
Direct
0.000 0.000 0.000
0.500 0.500 0.000
0.750 0.250 0.500
0.250 0.750 0.500
0.298 0.094 0.796
0.298 0.502 0.204
0.368 0.069 0.299
0.498 0.702 0.796
0.770 0.069 0.701
0.906 0.702 0.204
0.931 0.230 0.299
0.931 0.632 0.701

# 16
Tb5TmIn PBE optimized geometry; space-group type = No. 44; total DFT energy (no corrections) = -24.9 eV/cell; DFT formation energy = 5.5 eV/f.u.
1.0
-4.227 5.770 2.927
4.227 -5.770 2.927
4.227 5.770 -2.927
Tb Tm In
5 1 1
Direct
0.000 0.000 0.000
0.122 0.372 0.750
0.279 0.607 0.328
0.279 0.952 0.672
0.622 0.372 0.250
0.510 0.510 0.000
0.760 0.260 0.500

# 17
La2PmNd3Se6 PBE optimized geometry; space-group type = No. 12; total DFT energy (no corrections) = -72.5 eV/cell; energy relative to the elements, uncorrected = -1.894 eV per atom
1.0
9.257 -2.121 0.000
9.257 2.121 0.000
-1.962 0.000 8.309
La Pm Nd Se
2 1 3 6
Direct
0.166 0.166 0.332
0.834 0.834 0.668
0.500 0.500 0.000
0.167 0.167 0.834
0.500 0.500 0.500
0.833 0.833 0.166
0.002 0.002 0.753
0.334 0.334 0.414
0.335 0.335 0.920
0.665 0.665 0.080
0.666 0.666 0.586
0.998 0.998 0.247

# 18
InTc2O8 PBE optimized geometry; space-group type = No. 12; total DFT energy (no corrections) = -77.1 eV/cell; distance to the lowest polymorph of the same formula = 0.000 eV/atom; energy relative to the elements, uncorrected = -1.270 eV per atom
1.0
5.905 -3.428 0.000
5.905 3.428 0.000
-3.913 0.000 5.613
In Tc O
1 2 8
Direct
0.000 0.000 0.000
0.250 0.250 0.750
0.750 0.750 0.250
0.145 0.145 0.854
0.146 0.562 0.853
0.147 0.147 0.439
0.438 0.854 0.147
0.562 0.146 0.853
0.853 0.853 0.561
0.854 0.438 0.147
0.855 0.855 0.146

# 19
SrEuPd PBE optimized geometry; space-group type = No. 216; total DFT energy (no corrections) = -18.4 eV/cell; distance to the lowest polymorph of the same formula = 0.000 eV/atom; DFT formation energy = -1.3 eV/f.u.
1.0
0.000 3.690 3.690
3.690 0.000 3.690
3.690 3.690 0.000
Sr Eu Pd
1 1 1
Direct
0.000 0.000 0.000
0.500 0.500 0.500
0.750 0.750 0.750

# 20
Y2HoCd3 PBE optimized geometry; space-group type = No. 123; total DFT energy (no corrections) = -22.3 eV/cell; DFT formation energy = -2.1 eV/f.u.
1.0
3.743 0.000 0.000
0.000 3.743 0.000
0.000 0.000 11.231
Y Ho Cd
2 1 3
Direct
0.000 0.000 0.168
0.000 0.000 0.832
0.000 0.000 0.500
0.500 0.500 0.000
0.500 0.500 0.336
0.500 0.500 0.664

# 21
Pr8OsPb2 PBE optimized geometry; space-group type = No. 12; total DFT energy (no corrections) = -59.3 eV/cell; DFT formation energy = -2.5 eV/f.u.
1.0
10.009 -2.632 0.000
10.009 2.632 0.000
-2.180 0.000 6.702
Pr Os Pb
8 1 2
Direct
0.013 0.013 0.287
0.216 0.216 0.816
0.356 0.356 0.510
0.412 0.412 0.052
0.588 0.588 0.948
0.644 0.644 0.490
0.784 0.784 0.184
0.987 0.987 0.713
0.500 0.500 0.500
0.177 0.177 0.240
0.823 0.823 0.760

# 22
BaNi PBE optimized geometry; space-group type = No. 8; total DFT energy (no corrections) = -22.5 eV/cell; DFT formation energy = 0.2 eV/f.u.
1.0
5.902 -2.125 0.000
5.902 2.125 0.000
-3.539 0.000 7.776
Ba Ni
3 3
Direct
0.000 0.000 0.000
0.152 0.152 0.629
0.346 0.346 0.304
0.433 0.433 0.684
0.655 0.655 0.346
0.854 0.854 0.587

# 23
EuTmNiPt PBE optimized geometry; space-group type = No. 216; total DFT energy (no corrections) = -29.1 eV/cell; DFT formation energy = -2.5 eV/f.u.
1.0
0.000 3.465 3.465
3.465 0.000 3.465
3.465 3.465 0.000
Eu Tm Ni Pt
1 1 1 1
Direct
0.000 0.000 0.000
0.500 0.500 0.500
0.250 0.250 0.250
0.750 0.750 0.750